{"formula": "Li2TbMnO4", "functional": "GGA+U", "state": "relaxed", "lattice_angstrom": [[4.9743, 0.1183, 0.1704], [-2.2915, 4.4167, -0.1704], [-2.2915, -1.7054, 4.0777]], "species": ["Tb", "O", "O", "O", "O", "Li", "Li", "Mn"], "fractional_positions": [[0.0000, 0.0000, 0.0000], [0.4555, 0.8656, 0.8656], [0.5445, 0.4100, 0.4100], [0.0000, 0.5900, 0.1344], [0.0000, 0.1344, 0.5900], [0.5000, 0.7500, 0.2500], [0.5000, 0.2500, 0.7500], [0.0000, 0.5000, 0.5000]], "sg": "I-42m (121)", "total_energy_ha_per_atom": -0.24619}